1.
The following is a SCAN calculation of Ca3OsPd at its PBEsol-relaxed geometry, from Alexandria.

**Calculated total energy**: -26.273 eV per atom
**Energy relative to the elements**: 44.0 kJ per mole of atoms
**Theoretical density**: 4724 kg/m3
**Calculated volume**: 29.31 A^3/atom
**DOS at the Fermi energy**: 1.91 states/eV/f.u.
**M_tot**: 0.00 μB/f.u.

Cell lengths 5.2723, 5.2723, 5.2723 Å; angles 90.00, 90.00, 90.00 degrees
Sites, in units of the cell vectors:
Ca (0.0000, 0.0000, 0.5000)
Ca (0.0000, 0.5000, 0.0000)
Ca (0.5000, 0.0000, 0.0000)
Os (0.0000, 0.0000, 0.0000)
Pd (0.5000, 0.5000, 0.5000)

=====

2.
The following is a SCAN calculation of CaOsPd2 at its PBEsol-relaxed geometry, from Alexandria.

**Calculated total energy**: -36.502 eV per atom
**Energy relative to the elements**: 26.2 kJ per mole of atoms
**Theoretical density**: 11040 kg/m3
**Calculated volume**: 16.66 A^3/atom
**DOS at the Fermi energy**: 3.25 states/eV/f.u.
**M_tot**: 2.20 μB/f.u.

Cell lengths 4.5511, 4.5511, 4.5511 Å; angles 60.00, 60.00, 60.00 degrees
Sites, in units of the cell vectors:
Ca (0.0000, 0.0000, 0.0000)
Os (0.5000, 0.5000, 0.5000)
Pd (0.2500, 0.2500, 0.2500)
Pd (0.7500, 0.7500, 0.7500)

=====

3.
The following is a SCAN calculation of CaTaOs2Pd at its PBEsol-relaxed geometry, from Alexandria.

**Calculated total energy**: -48.577 eV per atom
**Energy relative to the elements**: 191.0 kJ per mole of atoms
**Theoretical density**: 11491 kg/m3
**Calculated volume**: 20.46 A^3/atom
**DOS at the Fermi energy**: 6.28 states/eV/f.u.
**M_tot**: 0.00 μB/f.u.

Cell lengths 4.7397, 4.7397, 4.5537 Å; angles 90.00, 90.00, 90.00 degrees
Sites, in units of the cell vectors:
Ca (0.0000, 0.0000, 0.0000)
Ta (0.5000, 0.5000, 0.0000)
Os (0.0000, 0.5000, 0.5000)
Os (0.5000, 0.0000, 0.5000)
Pd (0.0000, 0.0000, 0.5000)

=====

4.
The following is a SCAN calculation of RbCaOs3 at its PBEsol-relaxed geometry, from Alexandria.

**Calculated total energy**: -45.661 eV per atom
**Energy relative to the elements**: 342.2 kJ per mole of atoms
**Theoretical density**: 10764 kg/m3
**Calculated volume**: 21.48 A^3/atom
**DOS at the Fermi energy**: 7.72 states/eV/f.u.
**M_tot**: 0.26 μB/f.u.

Cell lengths 4.7534, 4.7534, 4.7534 Å; angles 90.00, 90.00, 90.00 degrees
Sites, in units of the cell vectors:
Rb (0.0000, 0.0000, 0.0000)
Ca (0.5000, 0.5000, 0.5000)
Os (0.0000, 0.0000, 0.5000)
Os (0.0000, 0.5000, 0.0000)
Os (0.5000, 0.0000, 0.0000)

=====

5.
The following is a SCAN calculation of CaReOs2 at its PBEsol-relaxed geometry, from Alexandria.

**Calculated total energy**: -55.539 eV per atom
**Energy relative to the elements**: 57.1 kJ per mole of atoms
**Theoretical density**: 16108 kg/m3
**Calculated volume**: 15.64 A^3/atom
**DOS at the Fermi energy**: 3.10 states/eV/f.u.
**M_tot**: 0.00 μB/f.u.

Cell lengths 4.4557, 4.4557, 4.4557 Å; angles 60.00, 60.00, 60.00 degrees
Sites, in units of the cell vectors:
Ca (0.0000, 0.0000, 0.0000)
Re (0.5000, 0.5000, 0.5000)
Os (0.2500, 0.2500, 0.2500)
Os (0.7500, 0.7500, 0.7500)

=====

6.
The following is a SCAN calculation of CaRe2Os at its PBEsol-relaxed geometry, from Alexandria.

**Calculated total energy**: -55.337 eV per atom
**Energy relative to the elements**: 57.6 kJ per mole of atoms
**Theoretical density**: 15462 kg/m3
**Calculated volume**: 16.18 A^3/atom
**DOS at the Fermi energy**: 3.26 states/eV/f.u.
**M_tot**: 0.00 μB/f.u.

Cell lengths 9.7637, 9.7637, 9.7637 Å; angles 16.40, 16.40, 16.40 degrees
Sites, in units of the cell vectors:
Ca (0.0000, 0.0000, 0.0000)
Re (0.2413, 0.2413, 0.2413)
Re (0.7587, 0.7587, 0.7587)
Os (0.5000, 0.5000, 0.5000)

=====

7.
The following is a SCAN calculation of Ca2ReOs at its PBEsol-relaxed geometry, from Alexandria.

**Calculated total energy**: -39.799 eV per atom
**Energy relative to the elements**: 75.0 kJ per mole of atoms
**Theoretical density**: 10407 kg/m3
**Calculated volume**: 18.21 A^3/atom
**DOS at the Fermi energy**: 3.10 states/eV/f.u.
**M_tot**: 0.50 μB/f.u.

Cell lengths 2.7462, 2.7462, 9.6643 Å; angles 90.00, 90.00, 91.54 degrees
Sites, in units of the cell vectors:
Ca (0.0000, 0.0000, 0.2426)
Ca (0.0000, 0.0000, 0.7574)
Re (0.5000, 0.5000, 0.5000)
Os (0.5000, 0.5000, 0.0000)

=====

8.
The following is a SCAN calculation of CaRe2Os at its PBEsol-relaxed geometry, from Alexandria.

**Calculated total energy**: -55.210 eV per atom
**Energy relative to the elements**: 69.9 kJ per mole of atoms
**Theoretical density**: 13773 kg/m3
**Calculated volume**: 18.17 A^3/atom
**DOS at the Fermi energy**: 3.47 states/eV/f.u.
**M_tot**: 0.00 μB/f.u.

Cell lengths 3.1928, 3.1928, 7.1285 Å; angles 90.00, 90.00, 90.00 degrees
Sites, in units of the cell vectors:
Ca (0.0000, 0.0000, 0.0000)
Re (0.5000, 0.5000, 0.3168)
Re (0.5000, 0.5000, 0.6832)
Os (0.0000, 0.0000, 0.5000)

=====

9.
The following is a SCAN calculation of CaReOs2 at its PBEsol-relaxed geometry, from Alexandria.

**Calculated total energy**: -55.444 eV per atom
**Energy relative to the elements**: 66.2 kJ per mole of atoms
**Theoretical density**: 16091 kg/m3
**Calculated volume**: 15.65 A^3/atom
**DOS at the Fermi energy**: 3.82 states/eV/f.u.
**M_tot**: 0.00 μB/f.u.

Cell lengths 5.2327, 5.2327, 2.7070 Å; angles 101.18, 101.18, 115.05 degrees
Sites, in units of the cell vectors:
Ca (0.0000, 0.0000, 0.0000)
Re (0.5000, 0.5000, 0.0000)
Os (0.0000, 0.5000, 0.5000)
Os (0.5000, 0.0000, 0.5000)

=====

10.
The following is a SCAN calculation of CaOsRh2 at its PBEsol-relaxed geometry, from Alexandria.

**Calculated total energy**: -37.228 eV per atom
**Energy relative to the elements**: 4.2 kJ per mole of atoms
**Theoretical density**: 11421 kg/m3
**Calculated volume**: 15.85 A^3/atom
**DOS at the Fermi energy**: 2.85 states/eV/f.u.
**M_tot**: 0.00 μB/f.u.

Cell lengths 2.8124, 2.8124, 8.0167 Å; angles 90.00, 90.00, 90.00 degrees
Sites, in units of the cell vectors:
Ca (0.0000, 0.0000, 0.0000)
Os (0.0000, 0.0000, 0.5000)
Rh (0.5000, 0.5000, 0.2850)
Rh (0.5000, 0.5000, 0.7150)

=====

11.
The following is a SCAN calculation of CaOsRh2 at its PBEsol-relaxed geometry, from Alexandria.

**Calculated total energy**: -37.128 eV per atom
**Energy relative to the elements**: 13.9 kJ per mole of atoms
**Theoretical density**: 11388 kg/m3
**Calculated volume**: 15.90 A^3/atom
**DOS at the Fermi energy**: 4.36 states/eV/f.u.
**M_tot**: 0.00 μB/f.u.

Cell lengths 5.7199, 5.7199, 5.7199 Å; angles 152.00, 133.28, 55.36 degrees
Sites, in units of the cell vectors:
Ca (0.0000, 0.0000, 0.0000)
Os (0.7177, 0.2177, 0.5000)
Rh (0.2748, 0.7748, 0.5000)
Rh (0.5035, 0.5035, 0.0000)

=====

12.
The following is a SCAN calculation of Ca2OsRh at its PBEsol-relaxed geometry, from Alexandria.

**Calculated total energy**: -30.846 eV per atom
**Energy relative to the elements**: 38.4 kJ per mole of atoms
**Theoretical density**: 8204 kg/m3
**Calculated volume**: 18.89 A^3/atom
**DOS at the Fermi energy**: 5.50 states/eV/f.u.
**M_tot**: 0.00 μB/f.u.

Cell lengths 4.7453, 4.7453, 4.7453 Å; angles 60.00, 60.00, 60.00 degrees
Sites, in units of the cell vectors:
Ca (0.2500, 0.2500, 0.2500)
Ca (0.7500, 0.7500, 0.7500)
Os (0.0000, 0.0000, 0.0000)
Rh (0.5000, 0.5000, 0.5000)

=====

13.
The following is a SCAN calculation of CaOsRh2 at its PBEsol-relaxed geometry, from Alexandria.

**Calculated total energy**: -36.786 eV per atom
**Energy relative to the elements**: 46.9 kJ per mole of atoms
**Theoretical density**: 11649 kg/m3
**Calculated volume**: 15.54 A^3/atom
**DOS at the Fermi energy**: 2.95 states/eV/f.u.
**M_tot**: 0.00 μB/f.u.

Cell lengths 4.4466, 4.4466, 4.4466 Å; angles 60.00, 60.00, 60.00 degrees
Sites, in units of the cell vectors:
Ca (0.0000, 0.0000, 0.0000)
Os (0.7500, 0.7500, 0.7500)
Rh (0.2500, 0.2500, 0.2500)
Rh (0.5000, 0.5000, 0.5000)

=====

14.
The following is a SCAN calculation of Ca2OsRh at its PBEsol-relaxed geometry, from Alexandria.

**Calculated total energy**: -30.830 eV per atom
**Energy relative to the elements**: 40.0 kJ per mole of atoms
**Theoretical density**: 8468 kg/m3
**Calculated volume**: 18.30 A^3/atom
**DOS at the Fermi energy**: 2.17 states/eV/f.u.
**M_tot**: 0.26 μB/f.u.

Cell lengths 9.1535, 9.1535, 9.1535 Å; angles 19.29, 19.29, 19.29 degrees
Sites, in units of the cell vectors:
Ca (0.2486, 0.2486, 0.2486)
Ca (0.7514, 0.7514, 0.7514)
Os (0.0000, 0.0000, 0.0000)
Rh (0.5000, 0.5000, 0.5000)

=====

15.
The following is a SCAN calculation of CaOsRu2 at its PBEsol-relaxed geometry, from Alexandria.

**Calculated total energy**: -37.119 eV per atom
**Energy relative to the elements**: 65.6 kJ per mole of atoms
**Theoretical density**: 11639 kg/m3
**Calculated volume**: 15.42 A^3/atom
**DOS at the Fermi energy**: 2.20 states/eV/f.u.
**M_tot**: 1.81 μB/f.u.

Cell lengths 4.4353, 4.4353, 4.4353 Å; angles 60.00, 60.00, 60.00 degrees
Sites, in units of the cell vectors:
Ca (0.0000, 0.0000, 0.0000)
Os (0.7500, 0.7500, 0.7500)
Ru (0.2500, 0.2500, 0.2500)
Ru (0.5000, 0.5000, 0.5000)

=====

16.
The following is a SCAN calculation of CaOsRu2 at its PBEsol-relaxed geometry, from Alexandria.

**Calculated total energy**: -37.235 eV per atom
**Energy relative to the elements**: 54.4 kJ per mole of atoms
**Theoretical density**: 11722 kg/m3
**Calculated volume**: 15.32 A^3/atom
**DOS at the Fermi energy**: 3.93 states/eV/f.u.
**M_tot**: 1.46 μB/f.u.

Cell lengths 4.4230, 4.4230, 4.4230 Å; angles 119.91, 119.91, 90.15 degrees
Sites, in units of the cell vectors:
Ca (0.0000, 0.0000, 0.0000)
Os (0.5000, 0.5000, 0.0000)
Ru (0.2500, 0.7500, 0.5000)
Ru (0.7500, 0.2500, 0.5000)

=====

17.
The following is a SCAN calculation of CaTi2OsS at its PBEsol-relaxed geometry, from Alexandria.

**Calculated total energy**: -22.346 eV per atom
**Raw formation energy**: 11.50 eV per formula unit
**Theoretical density**: 6165 kg/m3
**Calculated volume**: 19.29 A^3/atom
**DOS at the Fermi energy**: 5.45 states/eV/f.u.
**M_tot**: 0.00 μB/f.u.

Cell lengths 4.6335, 4.6335, 4.4924 Å; angles 90.00, 90.00, 90.00 degrees
Sites, in units of the cell vectors:
Ca (0.0000, 0.0000, 0.0000)
Ti (0.0000, 0.5000, 0.0000)
Ti (0.5000, 0.0000, 0.0000)
Os (0.0000, 0.0000, 0.5000)
S (0.5000, 0.5000, 0.5000)

=====

18.
The following is a SCAN calculation of CaSbOs at its PBEsol-relaxed geometry, from Alexandria.

**Calculated total energy**: -39.279 eV per atom
**Raw formation energy**: 0.97 eV per formula unit
**Theoretical density**: 8565 kg/m3
**Calculated volume**: 22.75 A^3/atom
**DOS at the Fermi energy**: 1.51 states/eV/f.u.
**M_tot**: 1.40 μB/f.u.

Cell lengths 4.5872, 4.5872, 4.5872 Å; angles 60.00, 60.00, 60.00 degrees
Sites, in units of the cell vectors:
Ca (0.0000, 0.0000, 0.0000)
Sb (0.7500, 0.7500, 0.7500)
Os (0.5000, 0.5000, 0.5000)

=====

19.
The following is a SCAN calculation of CaSb2Os at its PBEsol-relaxed geometry, from Alexandria.

**Calculated total energy**: -39.093 eV per atom
**Raw formation energy**: -0.31 eV per formula unit
**Theoretical density**: 8176 kg/m3
**Calculated volume**: 24.06 A^3/atom
**DOS at the Fermi energy**: 1.44 states/eV/f.u.
**M_tot**: 0.00 μB/f.u.

Cell lengths 6.4494, 6.4494, 6.4494 Å; angles 150.88, 132.09, 57.05 degrees
Sites, in units of the cell vectors:
Ca (0.0000, 0.0000, 0.0000)
Sb (0.3150, 0.8150, 0.5000)
Sb (0.6850, 0.1850, 0.5000)
Os (0.5000, 0.5000, 0.0000)

=====

20.
The following is a SCAN calculation of CaSb2Os at its PBEsol-relaxed geometry, from Alexandria.

**Calculated total energy**: -39.091 eV per atom
**Raw formation energy**: -0.30 eV per formula unit
**Theoretical density**: 8452 kg/m3
**Calculated volume**: 23.27 A^3/atom
**DOS at the Fermi energy**: 1.54 states/eV/f.u.
**M_tot**: 0.00 μB/f.u.

Cell lengths 7.8515, 7.8515, 7.8515 Å; angles 155.18, 152.69, 37.24 degrees
Sites, in units of the cell vectors:
Ca (0.0000, 0.0000, 0.0000)
Sb (0.1731, 0.6731, 0.5000)
Sb (0.3746, 0.3746, 0.0000)
Os (0.7489, 0.2489, 0.5000)